Entry 1:
{"formula": "TlAg2Te", "functional": "PBE", "state": "relaxed", "lattice": [[-4.738, 0.342, 0.644], [-0.717, -1.543, -4.455], [-0.098, -3.985, 1.396]], "species": ["Te", "Ag", "Ag", "Tl"], "fractional_positions": [[0.500, 0.000, 0.500], [0.500, 0.500, 0.000], [0.000, 0.000, 0.000], [0.000, 0.500, 0.500]], "formation_energy_uncorrected_ev_per_atom": 0.069, "total_energy_ev_per_atom": -2.734, "rho_g_cm3": 9.42}

=====

Entry 2:
{"formula": "Tl2Ag2Te", "functional": "PBE", "state": "relaxed", "lattice": [[-7.190, 2.389, -0.392], [-2.421, -7.060, 1.360], [0.039, 0.861, 4.536]], "species": ["Tl", "Tl", "Tl", "Tl", "Ag", "Ag", "Ag", "Ag", "Te", "Te"], "fractional_positions": [[0.168, 0.668, 0.500], [0.668, 0.832, 0.500], [0.332, 0.168, 0.500], [0.832, 0.332, 0.500], [0.369, 0.869, 0.000], [0.631, 0.131, 0.000], [0.869, 0.631, 0.000], [0.131, 0.369, 0.000], [0.000, 0.000, 0.000], [0.500, 0.500, 0.000]], "formation_energy_uncorrected_ev_per_atom": -0.019, "total_energy_ev_per_atom": -2.734, "rho_g_cm3": 9.40}